Entry 1:
A plane-wave DFT calculation with PBE was carried out for crystalline Ba2LiHg16 at its relaxed geometry.

Calculated values
Its symmetry is R3m (160). For the calculated total energy, the calculation gives -15.0 eV for the cell shown. As for the calculated density: 11.03 Mg/m³.

a = 8.221 Å, b = 8.221 Å, c = 8.221 Å
α = 78.42°, β = 78.42°, γ = 78.42°
Fractional coordinates of all 19 atoms:
Ba  0.000  0.000  0.000
Ba  0.321  0.321  0.321
Li  0.612  0.612  0.612
Hg  0.015  0.015  0.569
Hg  0.015  0.569  0.015
Hg  0.266  0.619  0.619
Hg  0.283  0.283  0.888
Hg  0.283  0.888  0.283
Hg  0.381  0.675  0.969
Hg  0.381  0.969  0.675
Hg  0.569  0.015  0.015
Hg  0.619  0.266  0.619
Hg  0.619  0.619  0.266
Hg  0.675  0.381  0.969
Hg  0.675  0.969  0.381
Hg  0.779  0.779  0.779
Hg  0.888  0.283  0.283
Hg  0.969  0.381  0.675
Hg  0.969  0.675  0.381

Entry 2:
A plane-wave DFT calculation with PBE was carried out for crystalline Ba3LiHg at its relaxed geometry.

Calculated values
Its symmetry is Pm-3m (221). For the calculated total energy, the calculation gives -8.2 eV for the cell shown. As for the calculated density: 3.51 Mg/m³.

a = 6.639 Å, b = 6.639 Å, c = 6.639 Å
α = 90.00°, β = 90.00°, γ = 90.00°
Fractional coordinates of all 5 atoms:
Ba  0.000  0.000  0.500
Ba  0.000  0.500  0.000
Ba  0.500  0.000  0.000
Li  0.500  0.500  0.500
Hg  0.000  0.000  0.000

Entry 3:
A plane-wave DFT calculation with PBE was carried out for crystalline BaLi6Hg4 at its relaxed geometry.

Calculated values
Its symmetry is P-6m2 (187). For the calculated total energy, the calculation gives -18.2 eV for the cell shown. As for the calculated density: 6.53 Mg/m³.

a = 7.986 Å, b = 7.986 Å, c = 4.520 Å
α = 90.00°, β = 90.00°, γ = 120.00°
Fractional coordinates of all 11 atoms:
Ba  0.000  0.000  0.000
Li  0.211  0.422  0.500
Li  0.211  0.789  0.500
Li  0.535  0.069  0.000
Li  0.535  0.465  0.000
Li  0.578  0.789  0.500
Li  0.931  0.465  0.000
Hg  0.333  0.667  0.000
Hg  0.401  0.201  0.500
Hg  0.799  0.201  0.500
Hg  0.799  0.599  0.500

Entry 4:
A plane-wave DFT calculation with PBE was carried out for crystalline BaLi2Hg4 at its relaxed geometry.

Calculated values
Its symmetry is Immm (71). For the calculated total energy, the calculation gives -9.3 eV for the cell shown. As for the calculated density: 8.54 Mg/m³.

a = 10.727 Å, b = 10.727 Å, c = 10.727 Å
α = 159.90°, β = 154.06°, γ = 33.03°
Fractional coordinates of all 7 atoms:
Ba  0.000  0.000  0.000
Li  0.306  0.806  0.500
Li  0.694  0.194  0.500
Hg  0.172  0.672  0.500
Hg  0.415  0.415  0.000
Hg  0.585  0.585  0.000
Hg  0.828  0.328  0.500

Entry 5:
A plane-wave DFT calculation with PBE was carried out for crystalline BaLiHg11 at its relaxed geometry.

Calculated values
Its symmetry is C2/m (12). For the calculated total energy, the calculation gives -9.5 eV for the cell shown. As for the calculated density: 11.25 Mg/m³.

a = 8.099 Å, b = 8.099 Å, c = 7.963 Å
α = 96.55°, β = 96.55°, γ = 135.81°
Fractional coordinates of all 13 atoms:
Ba  0.000  0.000  0.000
Li  0.500  0.500  0.500
Hg  0.000  0.000  0.500
Hg  0.000  0.500  0.000
Hg  0.019  0.362  0.367
Hg  0.308  0.514  0.782
Hg  0.362  0.019  0.367
Hg  0.486  0.692  0.218
Hg  0.500  0.000  0.000
Hg  0.514  0.308  0.782
Hg  0.638  0.981  0.633
Hg  0.692  0.486  0.218
Hg  0.981  0.638  0.633

Entry 6:
A plane-wave DFT calculation with PBE was carried out for crystalline BaLi2Hg5 at its relaxed geometry.

Calculated values
Its symmetry is Immm (71). For the calculated total energy, the calculation gives -10.0 eV for the cell shown. As for the calculated density: 9.22 Mg/m³.

a = 7.424 Å, b = 7.424 Å, c = 7.424 Å
α = 143.72°, β = 118.99°, γ = 73.10°
Fractional coordinates of all 8 atoms:
Ba  0.000  0.000  0.000
Li  0.272  0.772  0.500
Li  0.728  0.228  0.500
Hg  0.148  0.354  0.794
Hg  0.440  0.646  0.794
Hg  0.500  0.000  0.500
Hg  0.560  0.354  0.206
Hg  0.852  0.646  0.206

Entry 7:
A plane-wave DFT calculation with PBE was carried out for crystalline BaLi3Hg at its relaxed geometry.

Calculated values
Its symmetry is Pm-3m (221). For the calculated total energy, the calculation gives -8.6 eV for the cell shown. As for the calculated density: 4.07 Mg/m³.

a = 5.268 Å, b = 5.268 Å, c = 5.268 Å
α = 90.00°, β = 90.00°, γ = 90.00°
Fractional coordinates of all 5 atoms:
Ba  0.000  0.000  0.000
Li  0.000  0.500  0.500
Li  0.500  0.000  0.500
Li  0.500  0.500  0.000
Hg  0.500  0.500  0.500

Entry 8:
A plane-wave DFT calculation with PBE was carried out for crystalline BaLi12Hg6 at its relaxed geometry.

Calculated values
Its symmetry is R-3m (166). For the calculated total energy, the calculation gives -31.5 eV for the cell shown. As for the calculated density: 5.64 Mg/m³.

a = 7.713 Å, b = 7.713 Å, c = 7.713 Å
α = 102.65°, β = 102.65°, γ = 102.65°
Fractional coordinates of all 19 atoms:
Ba  0.000  0.000  0.000
Li  0.114  0.500  0.886
Li  0.114  0.886  0.500
Li  0.156  0.437  0.437
Li  0.437  0.156  0.437
Li  0.437  0.437  0.156
Li  0.500  0.114  0.886
Li  0.500  0.886  0.114
Li  0.563  0.563  0.844
Li  0.563  0.844  0.563
Li  0.844  0.563  0.563
Li  0.886  0.114  0.500
Li  0.886  0.500  0.114
Hg  0.249  0.249  0.710
Hg  0.249  0.710  0.249
Hg  0.290  0.751  0.751
Hg  0.710  0.249  0.249
Hg  0.751  0.290  0.751
Hg  0.751  0.751  0.290

Entry 9:
A plane-wave DFT calculation with PBE was carried out for crystalline Ba4Li2Hg at its relaxed geometry.

Calculated values
Its symmetry is I4/mmm (139). For the calculated total energy, the calculation gives -11.6 eV for the cell shown. As for the calculated density: 3.29 Mg/m³.

a = 10.049 Å, b = 10.049 Å, c = 10.049 Å
α = 141.80°, β = 141.80°, γ = 55.14°
Fractional coordinates of all 7 atoms:
Ba  0.000  0.500  0.500
Ba  0.192  0.192  0.000
Ba  0.500  0.000  0.500
Ba  0.808  0.808  0.000
Li  0.401  0.401  0.000
Li  0.599  0.599  0.000
Hg  0.000  0.000  0.000

Entry 10:
A plane-wave DFT calculation with PBE was carried out for crystalline BaLi3Hg2 at its relaxed geometry.

Calculated values
Its symmetry is C2/m (12). For the calculated total energy, the calculation gives -20.4 eV for the cell shown. As for the calculated density: 5.94 Mg/m³.

a = 8.642 Å, b = 8.642 Å, c = 8.867 Å
α = 114.62°, β = 114.62°, γ = 31.57°
Fractional coordinates of all 12 atoms:
Ba  0.149  0.149  0.066
Ba  0.851  0.851  0.934
Li  0.035  0.035  0.374
Li  0.310  0.310  0.537
Li  0.414  0.414  0.351
Li  0.586  0.586  0.649
Li  0.690  0.690  0.463
Li  0.965  0.965  0.626
Hg  0.183  0.183  0.675
Hg  0.476  0.476  0.806
Hg  0.524  0.524  0.194
Hg  0.817  0.817  0.325

Entry 11:
A plane-wave DFT calculation with PBE was carried out for crystalline BaLi5Hg7 at its relaxed geometry.

Calculated values
Its symmetry is Imm2 (44). For the calculated total energy, the calculation gives -17.7 eV for the cell shown. As for the calculated density: 8.99 Mg/m³.

a = 7.727 Å, b = 7.727 Å, c = 7.727 Å
α = 137.34°, β = 95.75°, γ = 99.47°
Fractional coordinates of all 13 atoms:
Ba  0.000  0.000  0.000
Li  0.010  0.020  0.502
Li  0.010  0.508  0.990
Li  0.250  0.750  0.500
Li  0.518  0.020  0.010
Li  0.518  0.508  0.498
Hg  0.230  0.530  0.700
Hg  0.341  0.996  0.345
Hg  0.342  0.342  0.000
Hg  0.648  0.648  0.000
Hg  0.651  0.996  0.655
Hg  0.779  0.279  0.500
Hg  0.830  0.530  0.300

Entry 12:
A plane-wave DFT calculation with PBE was carried out for crystalline Ba3Li2Hg4 at its relaxed geometry.

Calculated values
Its symmetry is C2/m (12). For the calculated total energy, the calculation gives -14.5 eV for the cell shown. As for the calculated density: 7.05 Mg/m³.

a = 6.511 Å, b = 6.511 Å, c = 9.784 Å
α = 107.47°, β = 107.47°, γ = 47.60°
Fractional coordinates of all 9 atoms:
Ba  0.000  0.000  0.000
Ba  0.367  0.367  0.304
Ba  0.633  0.633  0.696
Li  0.320  0.320  0.650
Li  0.680  0.680  0.350
Hg  0.098  0.098  0.409
Hg  0.280  0.280  0.920
Hg  0.720  0.720  0.080
Hg  0.902  0.902  0.591